1.
Density functional theory data (PBE) for RbTbPuCl6 after structural relaxation.

Computed properties:
**Energy**: -0.20254 Ha/atom
**M_tot**: 12.0 μB per cell

Unit cell a=7.211 b=7.211 c=14.429 alpha=90.00 beta=90.00 gamma=120.00
Positions (direct):
Rb 0.000 0.000 0.000
Rb 0.000 0.000 0.500
Tb 0.333 0.667 0.250
Tb 0.667 0.333 0.750
Pu 0.333 0.667 0.750
Pu 0.667 0.333 0.250
Cl 0.016 0.378 0.142
Cl 0.016 0.638 0.358
Cl 0.362 0.378 0.358
Cl 0.362 0.984 0.142
Cl 0.378 0.016 0.642
Cl 0.378 0.362 0.858
Cl 0.622 0.638 0.142
Cl 0.622 0.984 0.358
Cl 0.638 0.016 0.858
Cl 0.638 0.622 0.642
Cl 0.984 0.362 0.642
Cl 0.984 0.622 0.858

2.
Density functional theory data (PBE) for RbPuTiCl6 after structural relaxation.

Computed properties:
**Energy**: -0.20643 Ha/atom
**M_tot**: 14.0 μB per cell

Unit cell a=6.733 b=6.733 c=15.117 alpha=90.00 beta=90.00 gamma=120.00
Positions (direct):
Rb 0.000 0.000 0.000
Rb 0.000 0.000 0.500
Pu 0.333 0.667 0.250
Pu 0.667 0.333 0.750
Ti 0.333 0.667 0.750
Ti 0.667 0.333 0.250
Cl 0.031 0.373 0.652
Cl 0.031 0.657 0.848
Cl 0.343 0.373 0.848
Cl 0.343 0.969 0.652
Cl 0.373 0.031 0.152
Cl 0.373 0.343 0.348
Cl 0.627 0.657 0.652
Cl 0.627 0.969 0.848
Cl 0.657 0.031 0.348
Cl 0.657 0.627 0.152
Cl 0.969 0.343 0.152
Cl 0.969 0.627 0.348

3.
Density functional theory data (PBE) for Rb2PuTlCl5 after structural relaxation.

Computed properties:
**Energy**: -0.17331 Ha/atom
**M_tot**: 5.9 μB per cell

Unit cell a=5.429 b=5.429 c=11.809 alpha=90.00 beta=90.00 gamma=90.00
Positions (direct):
Rb 0.000 0.000 0.229
Rb 0.000 0.000 0.771
Pu 0.500 0.500 0.000
Tl 0.500 0.500 0.500
Cl 0.000 0.000 0.500
Cl 0.000 0.500 0.000
Cl 0.500 0.000 0.000
Cl 0.500 0.500 0.237
Cl 0.500 0.500 0.763

4.
Density functional theory data (PBE) for RbPuTl2Cl8 after structural relaxation.

Computed properties:
**Energy**: -0.15714 Ha/atom
**M_tot**: 3.0 μB per cell

Unit cell a=6.305 b=7.954 c=9.507 alpha=89.95 beta=89.98 gamma=67.61
Positions (direct):
Rb 0.000 0.000 0.000
Pu 0.000 0.000 0.500
Tl 0.499 0.500 0.232
Tl 0.501 0.500 0.768
Cl 0.038 0.213 0.307
Cl 0.039 0.212 0.693
Cl 0.424 0.803 0.500
Cl 0.455 0.278 0.999
Cl 0.545 0.722 0.001
Cl 0.576 0.197 0.500
Cl 0.961 0.788 0.307
Cl 0.962 0.787 0.693

5.
Density functional theory data (PBE) for RbYPuCl6 after structural relaxation.

Computed properties:
**Energy**: -0.21003 Ha/atom
**M_tot**: 12.0 μB per cell

Unit cell a=7.198 b=7.198 c=14.432 alpha=90.00 beta=90.00 gamma=120.00
Positions (direct):
Rb 0.000 0.000 0.000
Rb 0.000 0.000 0.500
Y 0.333 0.667 0.250
Y 0.667 0.333 0.750
Pu 0.333 0.667 0.750
Pu 0.667 0.333 0.250
Cl 0.017 0.378 0.143
Cl 0.017 0.639 0.357
Cl 0.361 0.378 0.357
Cl 0.361 0.983 0.143
Cl 0.378 0.017 0.643
Cl 0.378 0.361 0.857
Cl 0.622 0.639 0.143
Cl 0.622 0.983 0.357
Cl 0.639 0.017 0.857
Cl 0.639 0.622 0.643
Cl 0.983 0.361 0.643
Cl 0.983 0.622 0.857

6.
Density functional theory data (PBE) for RbPuZn2Cl8 after structural relaxation.

Computed properties:
**Energy**: -0.15569 Ha/atom
**M_tot**: 5.0 μB per cell

Unit cell a=10.819 b=10.819 c=10.819 alpha=34.94 beta=34.94 gamma=34.94
Positions (direct):
Rb 0.000 0.000 0.000
Pu 0.500 0.500 0.500
Zn 0.249 0.249 0.249
Zn 0.751 0.751 0.751
Cl 0.111 0.443 0.781
Cl 0.219 0.889 0.557
Cl 0.321 0.321 0.321
Cl 0.443 0.781 0.111
Cl 0.557 0.219 0.889
Cl 0.679 0.679 0.679
Cl 0.781 0.111 0.443
Cl 0.889 0.557 0.219

7.
Density functional theory data (PBE) for Rb2PuZnCl6 after structural relaxation.

Computed properties:
**Energy**: -0.16532 Ha/atom
**M_tot**: 6.0 μB per cell

Unit cell a=7.433 b=7.446 c=7.538 alpha=119.39 beta=119.40 gamma=90.02
Positions (direct):
Rb 0.250 0.245 0.000
Rb 0.750 0.755 0.000
Pu 0.000 0.500 0.500
Zn 0.500 0.000 0.500
Cl 0.205 0.805 0.492
Cl 0.256 0.768 0.013
Cl 0.315 0.296 0.511
Cl 0.685 0.704 0.489
Cl 0.744 0.232 0.987
Cl 0.795 0.195 0.508

8.
Density functional theory data (PBE) for RbPuZnCl6 after structural relaxation.

Computed properties:
**Energy**: -0.17360 Ha/atom
**M_tot**: 5.0 μB per cell

Unit cell a=6.893 b=6.893 c=7.215 alpha=90.00 beta=90.00 gamma=120.00
Positions (direct):
Rb 0.000 0.000 0.000
Pu 0.333 0.667 0.500
Zn 0.667 0.333 0.500
Cl 0.385 0.025 0.702
Cl 0.385 0.361 0.298
Cl 0.639 0.025 0.298
Cl 0.639 0.615 0.702
Cl 0.975 0.361 0.702
Cl 0.975 0.615 0.298

9.
Density functional theory data (PBE) for RbPu2ZnCl8 after structural relaxation.

Computed properties:
**Energy**: -0.20107 Ha/atom
**M_tot**: 11.0 μB per cell

Unit cell a=6.522 b=8.672 c=6.690 alpha=90.00 beta=95.18 gamma=90.00
Positions (direct):
Rb 0.000 0.000 0.000
Pu 0.500 0.262 0.500
Pu 0.500 0.738 0.500
Zn 0.000 0.500 0.000
Cl 0.220 0.303 0.163
Cl 0.220 0.697 0.163
Cl 0.277 0.500 0.663
Cl 0.291 0.000 0.632
Cl 0.709 0.000 0.368
Cl 0.723 0.500 0.337
Cl 0.780 0.303 0.837
Cl 0.780 0.697 0.837

10.
Density functional theory data (PBE) for Pu2ReCl after structural relaxation.

Computed properties:
**Energy**: -0.41187 Ha/atom
**M_tot**: 10.0 μB per cell

Unit cell a=3.272 b=3.272 c=8.049 alpha=90.00 beta=90.00 gamma=90.00
Positions (direct):
Pu 0.000 0.000 0.222
Pu 0.000 0.000 0.778
Re 0.500 0.500 0.000
Cl 0.500 0.500 0.500

11.
Density functional theory data (PBE) for Pu4RhCl5 after structural relaxation.

Computed properties:
**Energy**: -0.32049 Ha/atom
**M_tot**: 0.2 μB per cell

Unit cell a=9.133 b=9.133 c=8.507 alpha=105.18 beta=105.18 gamma=24.63
Positions (direct):
Pu 0.000 0.000 0.238
Pu 0.000 0.000 0.762
Pu 0.339 0.339 0.904
Pu 0.661 0.661 0.096
Rh 0.500 0.500 0.000
Cl 0.167 0.167 0.340
Cl 0.172 0.172 0.849
Cl 0.500 0.500 0.500
Cl 0.828 0.828 0.151
Cl 0.833 0.833 0.660

12.
Density functional theory data (PBE) for PuRuCl after structural relaxation.

Computed properties:
**Energy**: -0.33502 Ha/atom
**M_tot**: 16.1 μB per cell

Unit cell a=6.421 b=3.711 c=12.197 alpha=90.00 beta=100.65 gamma=90.00
Positions (direct):
Pu 0.239 0.000 0.202
Pu 0.261 0.500 0.798
Pu 0.739 0.500 0.202
Pu 0.761 0.000 0.798
Ru 0.142 0.000 0.931
Ru 0.358 0.500 0.069
Ru 0.642 0.500 0.931
Ru 0.858 0.000 0.069
Cl 0.126 0.500 0.355
Cl 0.374 0.000 0.645
Cl 0.626 0.000 0.355
Cl 0.874 0.500 0.645

13.
Density functional theory data (PBE) for Pu4RuCl5 after structural relaxation.

Computed properties:
**Energy**: -0.32502 Ha/atom
**M_tot**: 0.8 μB per cell

Unit cell a=8.781 b=8.781 c=8.473 alpha=100.37 beta=100.37 gamma=25.40
Positions (direct):
Pu 0.006 0.006 0.237
Pu 0.339 0.339 0.952
Pu 0.661 0.661 0.048
Pu 0.994 0.994 0.763
Ru 0.500 0.500 0.000
Cl 0.166 0.166 0.800
Cl 0.171 0.171 0.300
Cl 0.500 0.500 0.500
Cl 0.829 0.829 0.700
Cl 0.834 0.834 0.200

14.
Density functional theory data (PBE) for Pu2SCl2 after structural relaxation.

Computed properties:
**Energy**: -0.32693 Ha/atom
**M_tot**: 24.0 μB per cell

Unit cell a=3.902 b=5.672 c=12.308 alpha=90.00 beta=90.00 gamma=90.00
Positions (direct):
Pu 0.000 0.000 0.155
Pu 0.000 0.000 0.845
Pu 0.500 0.500 0.345
Pu 0.500 0.500 0.655
S 0.000 0.500 0.500
S 0.500 0.000 0.000
Cl 0.000 0.500 0.171
Cl 0.000 0.500 0.829
Cl 0.500 0.000 0.329
Cl 0.500 0.000 0.671

15.
Density functional theory data (PBE) for Pu2S2Cl after structural relaxation.

Computed properties:
**Energy**: -0.34759 Ha/atom
**M_tot**: 22.0 μB per cell

Unit cell a=4.090 b=5.423 c=12.704 alpha=90.00 beta=90.00 gamma=90.00
Positions (direct):
Pu 0.000 0.000 0.165
Pu 0.000 0.000 0.835
Pu 0.500 0.500 0.335
Pu 0.500 0.500 0.665
S 0.000 0.500 0.193
S 0.000 0.500 0.807
S 0.500 0.000 0.307
S 0.500 0.000 0.693
Cl 0.000 0.500 0.500
Cl 0.500 0.000 0.000

16.
Density functional theory data (PBE) for Pu4S6Cl after structural relaxation.

Computed properties:
**Energy**: -0.33526 Ha/atom
**M_tot**: 10.4 μB per cell

Unit cell a=8.439 b=8.439 c=3.843 alpha=90.00 beta=90.00 gamma=120.00
Positions (direct):
Pu 0.000 0.000 0.000
Pu 0.023 0.512 0.500
Pu 0.488 0.512 0.500
Pu 0.488 0.977 0.500
S 0.208 0.416 0.000
S 0.208 0.792 0.000
S 0.276 0.138 0.500
S 0.584 0.792 0.000
S 0.862 0.138 0.500
S 0.862 0.724 0.500
Cl 0.667 0.333 0.000

17.
Density functional theory data (PBE) for PuS2Cl after structural relaxation.

Computed properties:
**Energy**: -0.26820 Ha/atom
**M_tot**: 20.0 μB per cell

Unit cell a=3.995 b=14.290 c=7.500 alpha=90.00 beta=90.00 gamma=90.00
Positions (direct):
Pu 0.000 0.224 0.250
Pu 0.000 0.776 0.750
Pu 0.500 0.276 0.750
Pu 0.500 0.724 0.250
S 0.000 0.159 0.609
S 0.000 0.159 0.891
S 0.000 0.841 0.109
S 0.000 0.841 0.391
S 0.500 0.341 0.109
S 0.500 0.341 0.391
S 0.500 0.659 0.609
S 0.500 0.659 0.891
Cl 0.000 0.407 0.750
Cl 0.000 0.593 0.250
Cl 0.500 0.093 0.250
Cl 0.500 0.907 0.750

18.
Density functional theory data (PBE) for Pu6S5Cl after structural relaxation.

Computed properties:
**Energy**: -0.39305 Ha/atom
**M_tot**: 34.5 μB per cell

Unit cell a=6.877 b=6.877 c=6.875 alpha=99.60 beta=99.60 gamma=119.97
Positions (direct):
Pu 0.075 0.415 0.746
Pu 0.245 0.245 0.254
Pu 0.415 0.075 0.746
Pu 0.585 0.925 0.254
Pu 0.755 0.755 0.746
Pu 0.925 0.585 0.254
S 0.000 0.000 0.500
S 0.167 0.833 0.000
S 0.335 0.665 0.500
S 0.665 0.335 0.500
S 0.833 0.167 0.000
Cl 0.500 0.500 0.000

19.
Density functional theory data (PBE) for PuS2Cl2 after structural relaxation.

Computed properties:
**Energy**: -0.24091 Ha/atom
**M_tot**: 8.0 μB per cell

Unit cell a=7.125 b=7.125 c=7.315 alpha=96.94 beta=96.94 gamma=120.60
Positions (direct):
Pu 0.155 0.845 0.000
Pu 0.845 0.155 0.000
S 0.078 0.078 0.285
S 0.283 0.283 0.133
S 0.717 0.717 0.867
S 0.922 0.922 0.715
Cl 0.058 0.458 0.782
Cl 0.458 0.058 0.782
Cl 0.542 0.942 0.218
Cl 0.942 0.542 0.218

20.
Density functional theory data (PBE) for PuS2Cl5 after structural relaxation.

Computed properties:
**Energy**: -0.18185 Ha/atom
**M_tot**: 5.0 μB per cell

Unit cell a=5.376 b=7.156 c=8.723 alpha=100.05 beta=105.44 gamma=110.87
Positions (direct):
Pu 0.000 0.000 0.000
S 0.417 0.855 0.461
S 0.583 0.145 0.539
Cl 0.059 0.279 0.848
Cl 0.266 0.284 0.283
Cl 0.500 0.000 0.000
Cl 0.734 0.716 0.717
Cl 0.941 0.721 0.152